# NaGaCu2 | the Alexandria database | PBE | optimized geometry
data_NaGaCu2
_chemical_formula_sum 'Na1 Ga1 Cu2'
_cell_length_a 4.244
_cell_length_b 4.244
_cell_length_c 5.780
_cell_angle_alpha 68.46
_cell_angle_beta 68.46
_cell_angle_gamma 60.00
_symmetry_space_group_name_H-M 'P 1'
_symmetry_Int_Tables_number 1
_symmetry_space_group_name_Hall 'P 1'
loop_
_atom_site_label
_atom_site_fract_x
_atom_site_fract_y
_atom_site_fract_z
_atom_site_occupancy
Na1 0.500 0.500 0.500 1
Cu1 0.320 0.320 0.041 1
Cu2 0.680 0.680 0.959 1
Ga1 0.000 0.000 0.000 1
# * spin magnetization: 0.0 μB per cell
# * electronic total energy: -3.1554 eV per atom
# * SG: R-3m, No. 166